The following is a DFT calculation (PBE-GGA) of crystalline SrMgZn2Au5 at its relaxed geometry.

abc: 4.983 4.983 7.691
angles: 90.00 90.00 90.00
Fractional positions:
Sr  0.000  0.000  0.500
Mg  0.000  0.000  0.000
Zn  0.500  0.500  0.163
Zn  0.500  0.500  0.837
Au  0.000  0.500  0.207
Au  0.500  0.000  0.207
Au  0.000  0.500  0.793
Au  0.500  0.000  0.793
Au  0.500  0.500  0.500

Symmetry: P4/mmm
Uncorrected energy: -2.796 eV/atom
ΔE_f: -0.3277 eV per atom

---

The following is a DFT calculation (PBE-GGA) of crystalline TlBi3Pb3 at its relaxed geometry.

abc: 8.787 8.787 8.787
angles: 90.00 90.00 90.00
Fractional positions:
Pb  0.000  0.250  0.500
Pb  0.000  0.750  0.500
Pb  0.500  0.000  0.750
Pb  0.750  0.500  0.000
Pb  0.500  0.000  0.250
Pb  0.250  0.500  0.000
Tl  0.500  0.500  0.500
Tl  0.000  0.000  0.000
Bi  0.250  0.000  0.500
Bi  0.000  0.500  0.250
Bi  0.500  0.750  0.000
Bi  0.750  0.000  0.500
Bi  0.000  0.500  0.750
Bi  0.500  0.250  0.000

Symmetry: Pm-3n
Uncorrected energy: -3.303 eV/atom
ΔE_f: 0.2874 eV per atom

---

The following is a DFT calculation (PBE-GGA) of crystalline SrEr2O4 at its relaxed geometry.

abc: 3.357 5.807 11.110
angles: 90.00 90.00 106.80
Fractional positions:
Sr  0.612  0.224  0.750
Sr  0.388  0.776  0.250
Er  0.133  0.267  0.427
Er  0.867  0.733  0.927
Er  0.133  0.267  0.073
Er  0.867  0.733  0.573
O  0.763  0.527  0.108
O  0.763  0.527  0.392
O  0.237  0.473  0.892
O  0.237  0.473  0.608
O  0.952  0.904  0.750
O  0.048  0.096  0.250
O  0.500  0.000  0.000
O  0.500  0.000  0.500

Symmetry: Cmcm
E_form (uncorrected): -3354 meV/atom
Uncorrected energy: -7.731 eV/atom

---

The following is a DFT calculation (PBE-GGA) of crystalline Tb3Ho4Sn4 at its relaxed geometry.

abc: 4.065 9.259 10.016
angles: 117.53 101.71 90.00
Site moments in Bohr magnetons follow the coordinates.
Fractional positions:
Tb  0.103  0.103  0.206  0.12
Tb  0.897  0.897  0.794  0.12
Tb  0.000  0.500  0.000  0.04
Ho  0.330  0.139  0.660  0.24
Ho  0.670  0.479  0.340  0.24
Ho  0.670  0.861  0.340  0.24
Ho  0.330  0.521  0.660  0.24
Sn  0.259  0.759  0.517  -0.01
Sn  0.741  0.241  0.483  -0.01
Sn  0.500  0.786  0.000  0.00
Sn  0.500  0.214  0.000  0.00

Symmetry: Immm
Uncorrected energy: -4.893 eV/atom
ΔE_f: -0.5100 eV per atom

---

Question: Which value of uncorrected energy does entry 2 give?
Answer: -3.303 eV/atom